1.
First-principles (PBE-GGA) data for an optimized crystal structure of Rb6Au3F14, as listed in the Alexandria database.

POSCAR file:
```
Rb6Au3F14
1.0
9.729 0.000 0.000
-4.864 8.425 0.000
0.000 0.000 6.487
Rb Au F
6 3 14
Cartesian
-2.522 4.877 0.000
2.437 0.303 3.426
1.902 3.803 0.000
0.620 8.171 0.000
3.908 6.164 3.426
8.248 1.959 3.426
0.000 0.000 0.027
0.000 5.617 3.005
4.864 2.808 2.435
0.000 0.000 2.120
-3.777 7.038 5.185
0.658 1.635 5.185
-0.360 3.911 1.667
-1.297 6.781 1.667
0.000 5.617 5.095
3.591 1.720 1.211
3.255 3.335 3.631
1.657 6.158 1.667
5.213 1.151 3.631
4.558 4.455 1.211
6.444 2.250 1.211
3.119 8.177 5.185
6.125 3.939 3.631
```

Summary:
- D(E_F) (states/eV/f.u.) = 20.2
- calculated volume (Å³/atom) = 23.12
- formation energy (no corrections) (eV per atom) = -1.83
- VASP energy (Ry per atom) = -0.268
- mass density (g/cm³) = 4.28

2.
First-principles (PBE-GGA) data for an optimized crystal structure of RbAu2F2, as listed in the Alexandria database.

POSCAR file:
```
RbAu2F2
1.0
8.346 0.000 0.000
0.000 8.346 0.000
0.000 0.000 2.996
Rb Au F
2 4 4
Cartesian
0.000 0.000 0.000
4.173 4.173 0.000
0.904 3.270 0.000
3.270 7.443 0.000
5.077 0.904 0.000
7.443 5.077 0.000
1.953 6.126 1.498
2.221 1.953 1.498
6.126 6.394 1.498
6.394 2.221 1.498
```

Summary:
- D(E_F) (states/eV/f.u.) = 0.8
- calculated volume (Å³/atom) = 20.87
- formation energy (no corrections) (eV per atom) = -0.83
- VASP energy (Ry per atom) = -0.227
- mass density (g/cm³) = 8.23

3.
First-principles (PBE-GGA) data for an optimized crystal structure of Rb4Au2F, as listed in the Alexandria database.

POSCAR file:
```
Rb4Au2F
1.0
8.288 0.000 0.000
0.000 8.044 0.000
-2.756 0.000 9.137
Rb Au F
8 4 2
Cartesian
-0.532 0.083 2.290
-0.532 3.939 2.290
1.951 2.011 5.391
3.240 2.011 1.145
2.292 6.033 7.992
3.580 6.033 3.746
6.064 4.105 6.847
6.064 7.961 6.847
0.300 6.033 5.094
1.859 6.033 0.535
3.672 2.011 8.602
5.232 2.011 4.043
1.203 2.011 2.855
4.329 6.033 6.283
```

Summary:
- D(E_F) (states/eV/f.u.) = 2.8
- calculated volume (Å³/atom) = 43.51
- formation energy (no corrections) (eV per atom) = -0.89
- VASP energy (Ry per atom) = -0.194
- mass density (g/cm³) = 4.11

4.
First-principles (PBE-GGA) data for an optimized crystal structure of RbAu2F, as listed in the Alexandria database.

POSCAR file:
```
RbAu2F
1.0
-1.906 1.906 15.119
1.906 -1.906 15.119
1.906 1.906 -15.119
Rb Au F
2 4 2
Cartesian
0.000 0.000 0.000
0.000 1.906 7.559
0.953 0.954 -3.780
2.858 0.953 3.780
0.953 0.952 11.339
-0.952 0.953 18.898
1.906 0.000 7.559
0.000 0.000 15.119
```

Summary:
- D(E_F) (states/eV/f.u.) = 0.8
- calculated volume (Å³/atom) = 27.47
- formation energy (no corrections) (eV per atom) = -0.97
- VASP energy (Ry per atom) = -0.244
- mass density (g/cm³) = 7.53

5.
First-principles (PBE-GGA) data for an optimized crystal structure of Rb3AuF6, as listed in the Alexandria database.

POSCAR file:
```
Rb3AuF6
1.0
0.000 4.770 4.770
4.770 0.000 4.770
4.770 4.770 0.000
Rb Au F
3 1 6
Cartesian
0.000 0.000 0.000
2.385 2.385 2.385
7.154 7.154 7.154
4.770 4.770 4.770
4.770 4.770 2.623
4.770 2.623 4.770
6.917 4.770 4.770
2.623 4.770 4.770
4.770 6.917 4.770
4.770 4.770 6.917
```

Summary:
- D(E_F) (states/eV/f.u.) = 0.0
- calculated volume (Å³/atom) = 21.70
- formation energy (no corrections) (eV per atom) = -2.04
- VASP energy (Ry per atom) = -0.278
- mass density (g/cm³) = 4.34

6.
First-principles (PBE-GGA) data for an optimized crystal structure of Rb3AuF8, as listed in the Alexandria database.

POSCAR file:
```
Rb3AuF8
1.0
8.454 0.000 0.000
-4.227 7.321 0.000
0.000 0.000 7.593
Rb Au F
6 2 16
Cartesian
0.000 2.279 0.000
-2.253 6.182 0.000
1.974 1.139 3.797
2.253 6.182 0.000
6.480 1.139 3.797
4.227 5.042 3.797
0.000 4.881 3.621
4.227 2.440 7.417
0.000 0.000 1.940
0.000 0.000 5.737
-1.422 4.060 2.533
0.000 3.212 4.682
-1.445 5.715 4.682
0.000 4.881 7.420
2.782 1.606 0.885
1.422 4.060 2.533
0.000 6.523 2.533
4.227 0.798 6.329
2.805 3.261 6.329
1.445 5.715 4.682
4.227 2.440 3.623
5.672 1.606 0.885
4.227 4.109 0.885
5.649 3.261 6.329
```

Summary:
- D(E_F) (states/eV/f.u.) = 10.3
- calculated volume (Å³/atom) = 19.58
- formation energy (no corrections) (eV per atom) = -1.88
- VASP energy (Ry per atom) = -0.267
- mass density (g/cm³) = 4.28

7.
First-principles (PBE-GGA) data for an optimized crystal structure of Rb12Au7F, as listed in the Alexandria database.

POSCAR file:
```
Rb12Au7F
1.0
8.771 5.064 3.303
-8.771 5.064 3.303
0.000 -10.128 3.303
Rb Au F
12 7 1
Cartesian
-1.262 -2.066 1.668
-1.159 2.126 1.668
-4.326 0.531 4.233
2.420 -0.060 1.668
-2.623 -3.481 5.676
1.703 -4.012 4.233
-1.703 4.012 5.676
2.623 3.481 4.233
-2.420 0.060 8.241
4.326 -0.531 5.676
1.159 -2.126 8.241
1.262 2.066 8.241
-1.011 -5.530 2.576
-4.283 3.640 2.576
-5.294 -1.889 7.333
0.000 0.000 4.955
5.294 1.889 2.576
4.283 -3.640 7.333
1.011 5.530 7.333
0.000 0.000 0.000
```

Summary:
- D(E_F) (states/eV/f.u.) = 11.8
- calculated volume (Å³/atom) = 44.01
- formation energy (no corrections) (eV per atom) = -0.45
- VASP energy (Ry per atom) = -0.167
- mass density (g/cm³) = 4.57

8.
First-principles (PBE-GGA) data for an optimized crystal structure of Rb7AuF5, as listed in the Alexandria database.

POSCAR file:
```
Rb7AuF5
1.0
6.890 -2.087 0.000
6.890 2.087 0.000
-0.029 0.000 26.055
Rb Au F
14 2 10
Cartesian
0.289 0.000 6.515
1.844 0.000 13.835
1.829 0.000 25.249
4.525 0.000 8.895
4.541 0.000 4.128
5.621 0.000 15.634
5.605 0.000 23.444
8.146 0.000 2.611
8.131 0.000 10.421
9.211 0.000 21.927
9.226 0.000 17.160
11.922 0.000 0.807
11.907 0.000 12.220
13.462 0.000 19.540
3.833 0.000 19.550
9.919 0.000 6.505
0.518 0.000 22.675
0.534 0.000 16.409
3.135 0.000 11.312
3.150 0.000 1.714
6.890 0.000 0.000
6.876 0.000 13.028
10.601 0.000 24.341
10.616 0.000 14.743
13.218 0.000 9.646
13.233 0.000 3.380
```

Summary:
- D(E_F) (states/eV/f.u.) = 3.2
- calculated volume (Å³/atom) = 28.82
- formation energy (no corrections) (eV per atom) = -2.05
- VASP energy (Ry per atom) = -0.260
- mass density (g/cm³) = 3.95

9.
First-principles (PBE-GGA) data for an optimized crystal structure of Rb5Au2F2, as listed in the Alexandria database.

POSCAR file:
```
Rb5Au2F2
1.0
7.670 -2.846 0.000
7.670 2.846 0.000
-3.073 0.000 7.804
Rb Au F
5 2 2
Cartesian
0.000 0.000 0.000
0.608 0.000 4.397
5.007 0.000 0.694
7.260 0.000 7.110
11.660 0.000 3.407
4.008 0.000 5.494
8.260 0.000 2.310
-0.349 0.000 6.938
12.616 0.000 0.866
```

Summary:
- D(E_F) (states/eV/f.u.) = 3.8
- calculated volume (Å³/atom) = 37.85
- formation energy (no corrections) (eV per atom) = -1.26
- VASP energy (Ry per atom) = -0.216
- mass density (g/cm³) = 4.19

10.
First-principles (PBE-GGA) data for an optimized crystal structure of Rb3AuF6, as listed in the Alexandria database.

POSCAR file:
```
Rb3AuF6
1.0
6.179 0.000 0.000
0.000 6.182 0.000
-6.178 0.000 11.068
Rb Au F
6 2 12
Cartesian
0.000 0.000 0.000
-3.089 3.091 5.534
-3.093 0.006 8.301
-0.004 3.084 2.767
0.005 3.097 8.301
3.094 6.175 2.767
0.001 0.000 5.534
3.090 3.091 0.000
1.205 3.668 0.013
-1.884 5.604 5.547
-0.010 0.007 2.695
-3.099 3.083 8.229
2.513 1.206 0.010
-0.576 1.884 5.544
0.577 4.297 5.524
-2.512 4.975 11.058
3.100 3.098 2.839
0.011 6.174 8.374
1.885 0.577 5.521
-1.204 2.513 11.055
```

Summary:
- calculated volume (Å³/atom) = 21.14
- formation energy (no corrections) (eV per atom) = -2.10
- VASP energy (Ry per atom) = -0.282
- mass density (g/cm³) = 4.46

11.
First-principles (PBE-GGA) data for an optimized crystal structure of Rb5Au2F, as listed in the Alexandria database.

POSCAR file:
```
Rb5Au2F
1.0
3.387 -7.301 0.000
3.387 7.301 0.000
0.000 0.000 15.728
Rb Au F
10 4 2
Cartesian
3.387 6.451 9.858
3.387 6.451 13.735
3.387 2.984 3.932
3.387 2.448 9.629
3.387 2.448 13.963
3.387 -2.448 1.765
3.387 -2.448 6.099
3.387 -2.984 11.796
3.387 -6.451 1.993
3.387 -6.451 5.871
3.387 4.731 0.959
3.387 4.731 6.905
3.387 -4.731 8.823
3.387 -4.731 14.769
3.387 4.419 11.796
3.387 -4.419 3.932
```

Summary:
- D(E_F) (states/eV/f.u.) = 1.9
- calculated volume (Å³/atom) = 48.61
- formation energy (no corrections) (eV per atom) = -0.76
- VASP energy (Ry per atom) = -0.177
- mass density (g/cm³) = 3.59

12.
First-principles (PBE-GGA) data for an optimized crystal structure of RbAuF4, as listed in the Alexandria database.

POSCAR file:
```
RbAuF4
1.0
6.452 0.000 0.000
0.000 4.862 0.000
-4.064 0.000 7.583
Rb Au F
2 2 8
Cartesian
0.000 0.000 0.000
-2.032 2.431 3.792
1.194 0.000 3.792
3.226 2.431 0.000
-0.570 0.017 2.913
-2.602 2.414 6.705
-0.254 0.941 6.444
1.778 1.490 2.652
0.610 3.372 4.931
2.642 3.921 1.139
4.990 2.448 0.879
2.958 4.845 4.670
```

Summary:
- D(E_F) (states/eV/f.u.) = 0.0
- calculated volume (Å³/atom) = 19.82
- formation energy (no corrections) (eV per atom) = -1.77
- VASP energy (Ry per atom) = -0.273
- mass density (g/cm³) = 5.00